# 1
VASP calculation (PBE) on a relaxed structure of BaZnGa.

Computed properties:
Total magnetization (μB per formula unit): 0.00

Cell: 4.6328 6.4379 6.5088 Å, 101.61 102.97 104.24°
Space group P-1 (No. 2)
Symmetry-distinct sites (fractional):
Ba 0.2486 0.3225 0.1889
Zn 0.4668 0.1026 0.7056
Ga 0.0205 0.7883 0.3793


# 2
VASP calculation (PBE) on a relaxed structure of BaZn3Ga3.

Computed properties:
Total magnetization (μB per formula unit): 0.00

Cell: 6.4368 6.4368 26.3851 Å, 90.00 90.00 120.00°
Space group R-3 (No. 148, hexagonal axes)
Symmetry-distinct sites (fractional):
Ba 0.0000 0.0000 0.1871
Zn 0.0587 0.2634 0.6930
Ga 0.0527 0.4698 0.2524


# 3
VASP calculation (PBE) on a relaxed structure of Ba2Zn5Ga3.

Computed properties:
Total magnetization (μB per formula unit): 0.00

Cell: 4.6456 4.6456 10.5153 Å, 90.00 90.00 90.00°
Space group P-4m2 (No. 115)
Symmetry-distinct sites (fractional):
Ba 0.0000 0.5000 0.2489
Zn 0.0000 0.0000 0.0000
Zn 0.0000 0.0000 0.5000
Zn 0.0000 0.5000 0.8841
Zn 0.5000 0.5000 0.0000
Ga 0.0000 0.5000 0.6341
Ga 0.5000 0.5000 0.5000


# 4
VASP calculation (PBE) on a relaxed structure of Ba2Zn2Ga.

Computed properties:
Total magnetization (μB per formula unit): 0.00

Cell: 4.0331 4.0331 19.7176 Å, 90.00 90.00 90.00°
Space group I4/mmm (No. 139)
Symmetry-distinct sites (fractional):
Ba 0.0000 0.0000 0.1030
Zn 0.0000 0.5000 0.2500
Ga 0.0000 0.0000 0.5000


# 5
VASP calculation (PBE) on a relaxed structure of BaZnGa.

Computed properties:
Total magnetization (μB per formula unit): 0.00

Cell: 10.1672 8.8687 7.8303 Å, 90.00 90.00 90.00°
Space group Cmce (No. 64)
Symmetry-distinct sites (fractional):
Ba 0.2500 0.1254 0.2500
Zn 0.0000 0.1277 0.5845
Ga 0.0000 0.1230 0.9142


# 6
VASP calculation (PBE) on a relaxed structure of Ba3Zn2Ga2.

Computed properties:
Total magnetization (μB per formula unit): 0.00

Cell: 11.7926 5.1519 8.1052 Å, 90.00 109.64 90.00°
Space group C2/m (No. 12)
Symmetry-distinct sites (fractional):
Ba 0.0000 0.0000 0.0000
Ba 0.1858 0.0000 0.6370
Zn 0.1904 0.5000 0.9224
Ga 0.0100 0.5000 0.3454


# 7
VASP calculation (PBE) on a relaxed structure of BaZn3Ga.

Computed properties:
Total magnetization (μB per formula unit): 0.00

Cell: 6.4078 6.4267 6.3612 Å, 90.00 120.07 90.00°
Space group Cm (No. 8)
Symmetry-distinct sites (fractional):
Ba 0.0000 0.0000 0.0000
Zn 0.0015 0.2484 0.5032
Zn 0.1233 0.5000 0.2484
Ga 0.3749 0.0000 0.7483


# 8
VASP calculation (PBE) on a relaxed structure of BaZn2Ga3.

Computed properties:
Total magnetization (μB per formula unit): 0.00

Cell: 5.8468 5.8468 4.3619 Å, 90.00 90.00 120.00°
Space group P6/mmm (No. 191)
Symmetry-distinct sites (fractional):
Ba 0.0000 0.0000 0.0000
Zn 0.3333 0.6667 0.0000
Ga 0.0000 0.5000 0.5000


# 9
VASP calculation (PBE) on a relaxed structure of Ba3Zn3Ga.

Computed properties:
Total magnetization (μB per formula unit): 0.00

Cell: 12.5330 4.6048 16.7274 Å, 90.00 109.46 90.00°
Space group C2/m (No. 12)
Symmetry-distinct sites (fractional):
Ba 0.0242 0.0000 0.3931
Ba 0.1016 0.0000 0.9199
Ba 0.2439 0.5000 0.7609
Zn 0.0549 0.5000 0.2384
Zn 0.0971 0.5000 0.0811
Zn 0.1800 0.5000 0.5379
Ga 0.2348 0.5000 0.3932


# 10
VASP calculation (PBE) on a relaxed structure of Ba2Zn3Ga5.

Computed properties:
Total magnetization (μB per formula unit): 0.00

Cell: 4.5385 4.5385 11.0759 Å, 90.00 90.00 90.00°
Space group P-4m2 (No. 115)
Symmetry-distinct sites (fractional):
Ba 0.0000 0.5000 0.2503
Zn 0.0000 0.0000 0.0000
Zn 0.0000 0.5000 0.8753
Ga 0.0000 0.0000 0.5000
Ga 0.0000 0.5000 0.6340
Ga 0.5000 0.5000 0.0000
Ga 0.5000 0.5000 0.5000


# 11
VASP calculation (PBE) on a relaxed structure of Ba3ZnGa4.

Computed properties:
Total magnetization (μB per formula unit): 0.00

Cell: 6.5860 12.1164 6.1590 Å, 90.00 90.00 90.00°
Space group Pmmn (No. 59, origin choice 2)
Symmetry-distinct sites (fractional):
Ba 0.2500 0.0098 0.1739
Ba 0.2500 0.2500 0.5783
Zn 0.2500 0.7500 0.3130
Ga 0.0303 0.7500 0.9504
Ga 0.2500 0.6306 0.6722


# 12
VASP calculation (PBE) on a relaxed structure of Ba2Zn6Ga3.

Computed properties:
Total magnetization (μB per formula unit): 0.00

Cell: 8.1253 8.1253 4.3597 Å, 90.00 90.00 120.00°
Space group P-62m (No. 189)
Symmetry-distinct sites (fractional):
Ba 0.3333 0.6667 0.0000
Zn 0.0000 0.2920 0.5000
Zn 0.0000 0.8173 0.0000
Ga 0.0000 0.6461 0.5000


Number 1: ΔH_f (0 K) -7.2 kcal/mol of atoms, DFT total energy -14.32 eV/cell. Number 2: ΔH_f (0 K) -2.1 kcal/mol of atoms, DFT total energy -92.78 eV/cell. Number 3: ΔH_f (0 K) -6.6 kcal/mol of atoms, DFT total energy -22.16 eV/cell. Number 4: ΔH_f (0 K) -2.4 kcal/mol of atoms, DFT total energy -19.86 eV/cell. Number 5: ΔH_f (0 K) -7.2 kcal/mol of atoms, DFT total energy -57.25 eV/cell. Number 6: ΔH_f (0 K) -6.1 kcal/mol of atoms, DFT total energy -32.45 eV/cell. Number 7: ΔH_f (0 K) -5.9 kcal/mol of atoms, DFT total energy -20.09 eV/cell. Number 8: ΔH_f (0 K) -6.1 kcal/mol of atoms, DFT total energy -15.13 eV/cell. Number 9: ΔH_f (0 K) -5.1 kcal/mol of atoms, DFT total energy -56.65 eV/cell. Number 10: ΔH_f (0 K) -8.3 kcal/mol of atoms, DFT total energy -26.40 eV/cell. Number 11: ΔH_f (0 K) -8.4 kcal/mol of atoms, DFT total energy -44.16 eV/cell. Number 12: ΔH_f (0 K) -5.3 kcal/mol of atoms, DFT total energy -23.08 eV/cell.